1.
Here is a relaxed structure of SnH3Os from the Alexandria database. Energies are from PBE.

a = 3.6816 Å, b = 3.6816 Å, c = 3.6816 Å
α = 90.00°, β = 90.00°, γ = 90.00°
Space group Pm-3m (No. 221)
Symmetry-distinct sites (fractional):
Sn 0.0000 0.0000 0.0000 (multiplicity 1)
H 0.0000 0.5000 0.5000 (multiplicity 3)
Os 0.5000 0.5000 0.5000 (multiplicity 1)

Computed properties:
The calculation puts the density of states at the Fermi level at 0.44 states/eV per atom. The calculated density comes out at 10.38 g cm⁻³. The total magnetization is 0.00 μB/f.u. The value obtained for the total DFT energy (no corrections) is -23.09 eV per formula unit.

---

2.
Here is a relaxed structure of TlCrGeTe3 from the Alexandria database. Energies are from PBE.

a = 9.1234 Å, b = 3.5388 Å, c = 10.5002 Å
α = 90.00°, β = 112.94°, γ = 90.00°
Space group P2_1/m (No. 11)
Symmetry-distinct sites (fractional):
Tl 0.2207 0.2500 0.2810 (multiplicity 2)
Cr 0.3082 0.7500 0.8179 (multiplicity 2)
Ge 0.1325 0.2500 0.6168 (multiplicity 2)
Te 0.1306 0.2500 0.8869 (multiplicity 2)
Te 0.3713 0.7500 0.5870 (multiplicity 2)
Te 0.4450 0.7500 0.1067 (multiplicity 2)

Computed properties:
The calculation puts the density of states at the Fermi level at 0.45 states/eV per atom. The value obtained for the uncorrected formation energy is -0.05 eV/f.u. The calculated density comes out at 7.57 g cm⁻³. The total magnetization is 0.00 μB/f.u.